(1)
TaTlO3 | meta-GGA SCAN | PBEsol geometry

Summary:
Formation energy from raw total energies, eV/f.u.: -12.2

abc: 13.021 7.526 13.022
angles: 90.00 109.77 90.00
Space group C2/c (No. 15)
Symmetry-distinct sites (fractional):
1 Ta 0.000 0.000 0.000 x4
2 Ta 0.000 0.248 0.250 x4
3 Ta 0.000 0.500 0.000 x4
4 Ta 0.250 0.250 0.500 x4
5 Tl 0.000 0.263 0.750 x4
6 Tl 0.239 0.066 0.758 x8
7 Tl 0.250 0.250 0.000 x4
8 O 0.029 0.065 0.154 x8
9 O 0.030 0.250 0.970 x8
10 O 0.034 0.436 0.157 x8
11 O 0.155 0.435 0.528 x8
12 O 0.156 0.245 0.344 x8
13 O 0.157 0.064 0.535 x8

---

(2)
Ni2OsRh | meta-GGA SCAN | PBEsol geometry

Summary:
Raw total energy, eV per cell: -137.44

abc: 2.605 3.591 5.188
angles: 90.00 90.00 90.00
Space group Pmmm (No. 47)
Symmetry-distinct sites (fractional):
1 Ni 0.000 0.000 0.242 x2
2 Os 0.500 0.500 0.000 x1
3 Rh 0.500 0.500 0.500 x1

---

(3)
AlH10N2OF5 | meta-GGA SCAN | PBEsol geometry

Summary:
Raw total energy, eV per cell: -460.65

abc: 10.471 8.035 7.468
angles: 90.00 90.00 90.00
Space group Pbcn (No. 60)
Symmetry-distinct sites (fractional):
1 Al 0.000 0.194 0.250 x4
2 H 0.022 0.110 0.641 x8
3 H 0.117 0.489 0.387 x8
4 H 0.178 0.367 0.036 x8
5 H 0.241 0.088 0.348 x8
6 H 0.249 0.445 0.515 x8
7 N 0.200 0.463 0.947 x8
8 O 0.000 0.040 0.750 x4
9 F 0.000 0.421 0.250 x4
10 F 0.059 0.200 0.476 x8
11 F 0.166 0.192 0.167 x8

---

(4)
YZr3 | meta-GGA SCAN | PBEsol geometry

Summary:
Offset from the most stable computed form, meV per atom: 87

abc: 4.556 4.556 4.556
angles: 90.00 90.00 90.00
Space group Pm-3m (No. 221)
Symmetry-distinct sites (fractional):
1 Y 0.000 0.000 0.000 x1
2 Zr 0.000 0.500 0.500 x3

---

(5)
MnSe3 | meta-GGA SCAN | PBEsol geometry

Summary:
Formation energy from raw total energies, eV/f.u.: 1.2

abc: 6.571 6.571 6.571
angles: 90.00 90.00 90.00
Space group Fm-3m (No. 225)
Symmetry-distinct sites (fractional):
1 Mn 0.000 0.000 0.000 x4
2 Se 0.000 0.000 0.500 x4
3 Se 0.250 0.250 0.250 x8

---

(6)
Nd2ZnSb4 | meta-GGA SCAN | PBEsol geometry

Summary:
Formation energy from raw total energies, eV/f.u.: -5.8

abc: 4.340 4.340 9.867
angles: 90.00 90.00 90.00
Space group P-4m2 (No. 115)
Symmetry-distinct sites (fractional):
1 Nd 0.000 0.500 0.247 x2
2 Zn 0.000 0.000 0.000 x1
3 Sb 0.000 0.000 0.500 x1
4 Sb 0.000 0.500 0.846 x2
5 Sb 0.500 0.500 0.500 x1

---

(7)
Na2MgInAu | meta-GGA SCAN | PBEsol geometry

Summary:
Raw total energy, eV per cell: -113.52

abc: 5.500 5.500 5.178
angles: 90.00 90.00 90.00
Space group P4/mmm (No. 123)
Symmetry-distinct sites (fractional):
1 Na 0.000 0.500 0.000 x2
2 Mg 0.000 0.000 0.000 x1
3 In 0.000 0.000 0.500 x1
4 Au 0.500 0.500 0.500 x1

---

(8)
KCdCu7Se2Cl9O8 | meta-GGA SCAN | PBEsol geometry

Summary:
Formation energy from raw total energies, eV/f.u.: -26.3

abc: 8.7913 8.7913 15.1828
angles: 90.00 90.00 120.00
Space group P6_3/mmc (No. 194)
Symmetry-distinct sites (fractional):
1 K 0.0000 0.0000 0.2500 x2
2 Cd 0.0000 0.0000 0.0000 x2
3 Cu 0.0945 0.5472 0.0930 x12
4 Cu 0.3333 0.6667 0.2500 x2
5 Se 0.3333 0.6667 0.6005 x4
6 Cl 0.0163 0.5082 0.2500 x6
7 Cl 0.1399 0.2799 0.1003 x12
8 O 0.1351 0.5676 0.5448 x12
9 O 0.3333 0.6667 0.1262 x4

---

(9)
LiCaBi2Cl | meta-GGA SCAN | PBEsol geometry

Summary:
Formation energy from raw total energies, eV/f.u.: -1.1

abc: 6.029 6.029 5.090
angles: 90.00 90.00 90.00
Space group P4/mmm (No. 123)
Symmetry-distinct sites (fractional):
1 Li 0.000 0.000 0.000 x1
2 Ca 0.500 0.500 0.500 x1
3 Bi 0.000 0.500 0.500 x2
4 Cl 0.500 0.500 0.000 x1

---

(10)
BaMnN2 | meta-GGA SCAN | PBEsol geometry

Summary:
Formation energy from raw total energies, eV/f.u.: -3.3

abc: 5.737 11.216 7.702
angles: 90.00 90.00 90.00
Space group Cmce (No. 64)
Symmetry-distinct sites (fractional):
1 Ba 0.000 0.156 0.059 x8
2 Mn 0.000 0.050 0.634 x8
3 N 0.000 0.112 0.415 x8
4 N 0.250 0.084 0.750 x8

---

(11)
Cu2NiW | meta-GGA SCAN | PBEsol geometry

Summary:
Raw total energy, eV per cell: -115.74

abc: 2.619 2.619 7.092
angles: 90.00 90.00 90.00
Space group P4mm (No. 99)
Symmetry-distinct sites (fractional):
1 Cu 0.000 0.000 0.000 x1
2 Cu 0.500 0.500 0.236 x1
3 Ni 0.000 0.000 0.467 x1
4 W 0.500 0.500 0.723 x1

---

(12)
CdMoCl3 | meta-GGA SCAN | PBEsol geometry

Summary:
Formation energy from raw total energies, eV/f.u.: -0.6

abc: 5.059 5.059 5.059
angles: 90.00 90.00 90.00
Space group Pm-3m (No. 221)
Symmetry-distinct sites (fractional):
1 Cd 0.000 0.000 0.000 x1
2 Mo 0.500 0.500 0.500 x1
3 Cl 0.000 0.000 0.500 x3

---

(13)
CuPbCl3 | meta-GGA SCAN | PBEsol geometry

Summary:
Formation energy from raw total energies, eV/f.u.: -4.0

abc: 5.480 12.841 8.315
angles: 90.00 90.00 90.00
Space group Pbcn (No. 60)
Symmetry-distinct sites (fractional):
1 Cu 0.000 0.000 0.000 x4
2 Pb 0.000 0.412 0.250 x4
3 Cl 0.000 0.156 0.750 x4
4 Cl 0.203 0.413 0.595 x8

---

(14)
YAl3Se | meta-GGA SCAN | PBEsol geometry

Summary:
Offset from the most stable computed form, meV per atom: 0
Formation energy from raw total energies, eV/f.u.: 1.6

abc: 4.907 4.907 4.907
angles: 90.00 90.00 90.00
Space group Pm-3m (No. 221)
Symmetry-distinct sites (fractional):
1 Y 0.000 0.000 0.000 x1
2 Al 0.000 0.500 0.500 x3
3 Se 0.500 0.500 0.500 x1

---

(15)
ZrRe2Hg | meta-GGA SCAN | PBEsol geometry

Summary:
Raw total energy, eV per cell: -239.30

abc: 3.460 3.460 5.858
angles: 90.00 90.00 90.00
Space group P4/mmm (No. 123)
Symmetry-distinct sites (fractional):
1 Zr 0.000 0.000 0.000 x1
2 Re 0.500 0.500 0.223 x2
3 Hg 0.000 0.000 0.500 x1

---

(16)
La2CuPd2 | meta-GGA SCAN | PBEsol geometry

Summary:
Raw total energy, eV per cell: -340.08

abc: 7.431 7.431 4.019
angles: 90.00 90.00 90.00
Space group P4/mbm (No. 127)
Symmetry-distinct sites (fractional):
1 La 0.175 0.325 0.000 x4
2 Cu 0.000 0.000 0.500 x2
3 Pd 0.133 0.633 0.500 x4

---

(17)
BaReTe2 | meta-GGA SCAN | PBEsol geometry

Summary:
Offset from the most stable computed form, meV per atom: 0
Formation energy from raw total energies, eV/f.u.: -1.2

abc: 8.217 8.217 7.304
angles: 90.00 90.00 90.00
Space group I-42d (No. 122)
Symmetry-distinct sites (fractional):
1 Ba 0.000 0.000 0.000 x4
2 Re 0.000 0.000 0.500 x4
3 Te 0.152 0.250 0.625 x8

---

(18)
La2CoP | meta-GGA SCAN | PBEsol geometry

Summary:
Raw total energy, eV per cell: -233.95

abc: 4.044 4.088 10.538
angles: 90.00 90.00 90.00
Space group Amm2 (No. 38)
Symmetry-distinct sites (fractional):
1 La 0.000 0.000 0.000 x2
2 La 0.500 0.000 0.285 x2
3 Co 0.500 0.000 0.591 x2
4 P 0.000 0.000 0.703 x2